No. 1
This record from Alexandria via LeMat-Bulk describes a relaxed Mg2SnSe4 crystal. The functional is PBE-GGA.

Distance to the lowest polymorph of the same formula   91 meV/atom
Space group   No. 111

```
data_Mg2SnSe4
_space_group_name_H-M_alt 'P 1'
_space_group_IT_number 1
_cell_length_a 4.941
_cell_length_b 6.619
_cell_length_c 6.619
_cell_angle_alpha 90.00
_cell_angle_beta 90.00
_cell_angle_gamma 90.00
loop_
_space_group_symop_operation_xyz
'x,y,z'
loop_
_atom_site_label
_atom_site_fract_x
_atom_site_fract_y
_atom_site_fract_z
Mg1 0.000 0.000 0.500
Se1 0.748 0.761 0.761
Sn1 0.000 0.000 0.000
Mg2 0.000 0.500 0.000
Se2 0.748 0.239 0.239
Se3 0.252 0.761 0.239
Se4 0.252 0.239 0.761
```

No. 2
This record from Alexandria via LeMat-Bulk describes a relaxed MgSn3Se crystal. The functional is PBE-GGA.

Distance to the lowest polymorph of the same formula   84 meV/atom
Space group   No. 221

```
data_MgSn3Se
_space_group_name_H-M_alt 'P 1'
_space_group_IT_number 1
_cell_length_a 5.383
_cell_length_b 5.383
_cell_length_c 5.383
_cell_angle_alpha 90.00
_cell_angle_beta 90.00
_cell_angle_gamma 90.00
loop_
_space_group_symop_operation_xyz
'x,y,z'
loop_
_atom_site_label
_atom_site_fract_x
_atom_site_fract_y
_atom_site_fract_z
Sn1 0.000 0.500 0.000
Sn2 0.000 0.000 0.500
Se1 0.500 0.500 0.500
Sn3 0.500 0.000 0.000
Mg1 0.000 0.000 0.000
```

No. 3
This record from Alexandria via LeMat-Bulk describes a relaxed Mg2SnSe4 crystal. The functional is PBE-GGA.

Distance to the lowest polymorph of the same formula   159 meV/atom
Space group   No. 63

```
data_Mg2SnSe4
_space_group_name_H-M_alt 'P 1'
_space_group_IT_number 1
_cell_length_a 3.788
_cell_length_b 6.733
_cell_length_c 13.388
_cell_angle_alpha 90.00
_cell_angle_beta 90.00
_cell_angle_gamma 106.34
loop_
_space_group_symop_operation_xyz
'x,y,z'
loop_
_atom_site_label
_atom_site_fract_x
_atom_site_fract_y
_atom_site_fract_z
Sn1 0.627 0.253 0.750
Se1 0.500 0.000 0.000
Se2 0.224 0.448 0.615
Mg1 0.877 0.754 0.566
Sn2 0.373 0.747 0.250
Se3 0.776 0.552 0.115
Se4 0.500 0.000 0.500
Se5 0.224 0.448 0.885
Se6 0.969 0.938 0.750
Mg2 0.123 0.246 0.434
Se7 0.776 0.552 0.385
Mg3 0.877 0.754 0.934
Mg4 0.123 0.246 0.066
Se8 0.031 0.062 0.250
```

No. 4
This record from Alexandria via LeMat-Bulk describes a relaxed Mg2SnSe crystal. The functional is PBE-GGA.

Distance to the lowest polymorph of the same formula   432 meV/atom
Space group   No. 225

```
data_Mg2SnSe
_space_group_name_H-M_alt 'P 1'
_space_group_IT_number 1
_cell_length_a 5.035
_cell_length_b 5.035
_cell_length_c 5.035
_cell_angle_alpha 60.00
_cell_angle_beta 60.00
_cell_angle_gamma 60.00
loop_
_space_group_symop_operation_xyz
'x,y,z'
loop_
_atom_site_label
_atom_site_fract_x
_atom_site_fract_y
_atom_site_fract_z
Sn1 0.500 0.500 0.500
Mg1 0.750 0.750 0.750
Se1 0.000 0.000 0.000
Mg2 0.250 0.250 0.250
```

No. 5
This record from Alexandria via LeMat-Bulk describes a relaxed MgSn2Se crystal. The functional is PBE-GGA.

Space group   No. 225

```
data_MgSn2Se
_space_group_name_H-M_alt 'P 1'
_space_group_IT_number 1
_cell_length_a 5.209
_cell_length_b 5.209
_cell_length_c 5.209
_cell_angle_alpha 60.00
_cell_angle_beta 60.00
_cell_angle_gamma 60.00
loop_
_space_group_symop_operation_xyz
'x,y,z'
loop_
_atom_site_label
_atom_site_fract_x
_atom_site_fract_y
_atom_site_fract_z
Sn1 0.250 0.250 0.250
Se1 0.500 0.500 0.500
Mg1 0.000 0.000 0.000
Sn2 0.750 0.750 0.750
```

No. 6
This record from Alexandria via LeMat-Bulk describes a relaxed MgSn4Se5 crystal. The functional is PBE-GGA.

Space group   No. 166

```
data_MgSn4Se5
_space_group_name_H-M_alt 'P 1'
_space_group_IT_number 1
_cell_length_a 4.210
_cell_length_b 4.210
_cell_length_c 17.446
_cell_angle_alpha 83.07
_cell_angle_beta 83.07
_cell_angle_gamma 60.00
loop_
_space_group_symop_operation_xyz
'x,y,z'
loop_
_atom_site_label
_atom_site_fract_x
_atom_site_fract_y
_atom_site_fract_z
Se1 0.000 0.000 0.000
Sn1 0.897 0.897 0.309
Se2 0.402 0.402 0.794
Sn2 0.299 0.299 0.103
Mg1 0.500 0.500 0.500
Se3 0.805 0.805 0.585
Sn3 0.701 0.701 0.897
Sn4 0.103 0.103 0.691
Se4 0.598 0.598 0.206
Se5 0.195 0.195 0.415
```

No. 7
This record from Alexandria via LeMat-Bulk describes a relaxed MgTaSnSe2 crystal. The functional is PBE-GGA.

Space group   No. 123

```
data_MgTaSnSe2
_space_group_name_H-M_alt 'P 1'
_space_group_IT_number 1
_cell_length_a 4.789
_cell_length_b 5.404
_cell_length_c 4.789
_cell_angle_alpha 90.00
_cell_angle_beta 90.00
_cell_angle_gamma 90.00
loop_
_space_group_symop_operation_xyz
'x,y,z'
loop_
_atom_site_label
_atom_site_fract_x
_atom_site_fract_y
_atom_site_fract_z
Ta1 0.500 0.500 0.500
Se1 0.000 0.000 0.500
Sn1 0.000 0.500 0.000
Mg1 0.000 0.000 0.000
Se2 0.500 0.000 0.000
```

No. 8
This record from Alexandria via LeMat-Bulk describes a relaxed Mg2TiSnSe crystal. The functional is PBE-GGA.

Space group   No. 123

```
data_Mg2TiSnSe
_space_group_name_H-M_alt 'P 1'
_space_group_IT_number 1
_cell_length_a 5.189
_cell_length_b 5.344
_cell_length_c 5.189
_cell_angle_alpha 90.00
_cell_angle_beta 90.00
_cell_angle_gamma 90.00
loop_
_space_group_symop_operation_xyz
'x,y,z'
loop_
_atom_site_label
_atom_site_fract_x
_atom_site_fract_y
_atom_site_fract_z
Mg1 0.500 0.000 0.000
Ti1 0.000 0.500 0.000
Se1 0.500 0.500 0.500
Mg2 0.000 0.000 0.500
Sn1 0.000 0.000 0.000
```

No. 9
This record from Alexandria via LeMat-Bulk describes a relaxed MgTl2SnSe4 crystal. The functional is PBE-GGA.

Space group   No. 5

```
data_MgTl2SnSe4
_space_group_name_H-M_alt 'P 1'
_space_group_IT_number 1
_cell_length_a 7.500
_cell_length_b 7.470
_cell_length_c 6.765
_cell_angle_alpha 118.97
_cell_angle_beta 119.15
_cell_angle_gamma 97.04
loop_
_space_group_symop_operation_xyz
'x,y,z'
loop_
_atom_site_label
_atom_site_fract_x
_atom_site_fract_y
_atom_site_fract_z
Se1 0.389 0.797 0.233
Tl1 0.204 0.203 0.407
Se2 0.080 0.146 0.805
Mg1 0.984 0.484 0.968
Sn1 0.744 0.744 0.488
Se3 0.724 0.659 0.804
Tl2 0.418 0.918 0.836
Se4 0.844 0.436 0.233
```

No. 10
This record from Alexandria via LeMat-Bulk describes a relaxed SrMgSe crystal. The functional is PBE-GGA.

Distance to the lowest polymorph of the same formula   84 meV/atom
Space group   No. 156

```
data_SrMgSe
_space_group_name_H-M_alt 'P 1'
_space_group_IT_number 1
_cell_length_a 4.194
_cell_length_b 4.194
_cell_length_c 6.258
_cell_angle_alpha 90.00
_cell_angle_beta 90.00
_cell_angle_gamma 120.00
loop_
_space_group_symop_operation_xyz
'x,y,z'
loop_
_atom_site_label
_atom_site_fract_x
_atom_site_fract_y
_atom_site_fract_z
Sr1 0.333 0.667 0.618
Se1 0.667 0.333 0.308
Mg1 0.000 0.000 0.074
```

No. 11
This record from Alexandria via LeMat-Bulk describes a relaxed SrMgSe4 crystal. The functional is PBE-GGA.

Space group   No. 216

```
data_SrMgSe4
_space_group_name_H-M_alt 'P 1'
_space_group_IT_number 1
_cell_length_a 5.966
_cell_length_b 5.966
_cell_length_c 5.966
_cell_angle_alpha 60.00
_cell_angle_beta 60.00
_cell_angle_gamma 60.00
loop_
_space_group_symop_operation_xyz
'x,y,z'
loop_
_atom_site_label
_atom_site_fract_x
_atom_site_fract_y
_atom_site_fract_z
Sr1 0.750 0.750 0.750
Se1 0.880 0.373 0.373
Mg1 0.000 0.000 0.000
Se2 0.373 0.373 0.373
Se3 0.373 0.880 0.373
Se4 0.373 0.373 0.880
```

No. 12
This record from Alexandria via LeMat-Bulk describes a relaxed Sr2MgSe2 crystal. The functional is PBE-GGA.

Space group   No. 127

```
data_Sr2MgSe2
_space_group_name_H-M_alt 'P 1'
_space_group_IT_number 1
_cell_length_a 8.310
_cell_length_b 8.310
_cell_length_c 4.098
_cell_angle_alpha 90.00
_cell_angle_beta 90.00
_cell_angle_gamma 90.00
loop_
_space_group_symop_operation_xyz
'x,y,z'
loop_
_atom_site_label
_atom_site_fract_x
_atom_site_fract_y
_atom_site_fract_z
Mg1 0.000 0.000 0.000
Mg2 0.500 0.500 0.000
Sr1 0.345 0.155 0.500
Se1 0.654 0.154 0.000
Se2 0.846 0.654 0.000
Sr2 0.155 0.655 0.500
Sr3 0.845 0.345 0.500
Se3 0.154 0.346 0.000
Sr4 0.655 0.845 0.500
Se4 0.346 0.846 0.000
```

No. 13
This record from Alexandria via LeMat-Bulk describes a relaxed SrMgSe crystal. The functional is PBE-GGA.

Distance to the lowest polymorph of the same formula   419 meV/atom
Space group   No. 216

```
data_SrMgSe
_space_group_name_H-M_alt 'P 1'
_space_group_IT_number 1
_cell_length_a 5.219
_cell_length_b 5.219
_cell_length_c 5.219
_cell_angle_alpha 60.00
_cell_angle_beta 60.00
_cell_angle_gamma 60.00
loop_
_space_group_symop_operation_xyz
'x,y,z'
loop_
_atom_site_label
_atom_site_fract_x
_atom_site_fract_y
_atom_site_fract_z
Se1 0.250 0.250 0.250
Sr1 0.000 0.000 0.000
Mg1 0.500 0.500 0.500
```

No. 14
This record from Alexandria via LeMat-Bulk describes a relaxed SrMgSe crystal. The functional is PBE-GGA.

Distance to the lowest polymorph of the same formula   0 meV/atom
Space group   No. 166

```
data_SrMgSe
_space_group_name_H-M_alt 'P 1'
_space_group_IT_number 1
_cell_length_a 5.231
_cell_length_b 5.231
_cell_length_c 9.328
_cell_angle_alpha 73.72
_cell_angle_beta 73.72
_cell_angle_gamma 60.00
loop_
_space_group_symop_operation_xyz
'x,y,z'
loop_
_atom_site_label
_atom_site_fract_x
_atom_site_fract_y
_atom_site_fract_z
Mg1 0.819 0.819 0.543
Se1 0.281 0.281 0.157
Sr1 0.601 0.601 0.196
Se2 0.719 0.719 0.843
Mg2 0.181 0.181 0.457
Sr2 0.399 0.399 0.804
```

No. 15
This record from Alexandria via LeMat-Bulk describes a relaxed SrMg3Se crystal. The functional is PBE-GGA.

Distance to the lowest polymorph of the same formula   1073 meV/atom
Space group   No. 221

```
data_SrMg3Se
_space_group_name_H-M_alt 'P 1'
_space_group_IT_number 1
_cell_length_a 6.299
_cell_length_b 6.299
_cell_length_c 6.299
_cell_angle_alpha 90.00
_cell_angle_beta 90.00
_cell_angle_gamma 90.00
loop_
_space_group_symop_operation_xyz
'x,y,z'
loop_
_atom_site_label
_atom_site_fract_x
_atom_site_fract_y
_atom_site_fract_z
Mg1 0.000 0.500 0.000
Mg2 0.000 0.000 0.500
Se1 0.500 0.500 0.500
Sr1 0.000 0.000 0.000
Mg3 0.500 0.000 0.000
```

No. 16
This record from Alexandria via LeMat-Bulk describes a relaxed SrMg4Se crystal. The functional is PBE-GGA.

Space group   No. 216

```
data_SrMg4Se
_space_group_name_H-M_alt 'P 1'
_space_group_IT_number 1
_cell_length_a 6.137
_cell_length_b 6.137
_cell_length_c 6.137
_cell_angle_alpha 60.00
_cell_angle_beta 60.00
_cell_angle_gamma 60.00
loop_
_space_group_symop_operation_xyz
'x,y,z'
loop_
_atom_site_label
_atom_site_fract_x
_atom_site_fract_y
_atom_site_fract_z
Mg1 0.375 0.875 0.375
Se1 0.750 0.750 0.750
Mg2 0.375 0.375 0.875
Mg3 0.375 0.375 0.375
Sr1 0.000 0.000 0.000
Mg4 0.875 0.375 0.375
```

No. 17
This record from Alexandria via LeMat-Bulk describes a relaxed SrMgSe crystal. The functional is PBE-GGA.

Distance to the lowest polymorph of the same formula   197 meV/atom
Space group   No. 107

```
data_SrMgSe
_space_group_name_H-M_alt 'P 1'
_space_group_IT_number 1
_cell_length_a 6.636
_cell_length_b 6.636
_cell_length_c 3.718
_cell_angle_alpha 73.73
_cell_angle_beta 73.73
_cell_angle_gamma 32.54
loop_
_space_group_symop_operation_xyz
'x,y,z'
loop_
_atom_site_label
_atom_site_fract_x
_atom_site_fract_y
_atom_site_fract_z
Mg1 0.968 0.968 0.032
Sr1 0.688 0.688 0.312
Se1 0.344 0.344 0.656
```

No. 18
This record from Alexandria via LeMat-Bulk describes a relaxed SrMg3Se crystal. The functional is PBE-GGA.

Distance to the lowest polymorph of the same formula   0 meV/atom
Space group   No. 221

```
data_SrMg3Se
_space_group_name_H-M_alt 'P 1'
_space_group_IT_number 1
_cell_length_a 5.364
_cell_length_b 5.364
_cell_length_c 5.364
_cell_angle_alpha 90.00
_cell_angle_beta 90.00
_cell_angle_gamma 90.00
loop_
_space_group_symop_operation_xyz
'x,y,z'
loop_
_atom_site_label
_atom_site_fract_x
_atom_site_fract_y
_atom_site_fract_z
Mg1 0.000 0.000 0.500
Mg2 0.000 0.500 0.000
Sr1 0.500 0.500 0.500
Se1 0.000 0.000 0.000
Mg3 0.500 0.000 0.000
```

No. 19
This record from Alexandria via LeMat-Bulk describes a relaxed SrMgSe crystal. The functional is PBE-GGA.

Distance to the lowest polymorph of the same formula   490 meV/atom
Space group   No. 216

```
data_SrMgSe
_space_group_name_H-M_alt 'P 1'
_space_group_IT_number 1
_cell_length_a 5.284
_cell_length_b 5.284
_cell_length_c 5.284
_cell_angle_alpha 60.00
_cell_angle_beta 60.00
_cell_angle_gamma 60.00
loop_
_space_group_symop_operation_xyz
'x,y,z'
loop_
_atom_site_label
_atom_site_fract_x
_atom_site_fract_y
_atom_site_fract_z
Sr1 0.250 0.250 0.250
Mg1 0.000 0.000 0.000
Se1 0.500 0.500 0.500
```

No. 20
This record from Alexandria via LeMat-Bulk describes a relaxed Sr2ThMgSe5 crystal. The functional is PBE-GGA.

Space group   No. 36

```
data_Sr2ThMgSe5
_space_group_name_H-M_alt 'P 1'
_space_group_IT_number 1
_cell_length_a 4.326
_cell_length_b 9.274
_cell_length_c 13.303
_cell_angle_alpha 90.00
_cell_angle_beta 90.00
_cell_angle_gamma 103.49
loop_
_space_group_symop_operation_xyz
'x,y,z'
loop_
_atom_site_label
_atom_site_fract_x
_atom_site_fract_y
_atom_site_fract_z
Sr1 0.898 0.796 0.184
Se1 0.694 0.387 0.869
Mg1 0.524 0.050 0.960
Th1 0.787 0.573 0.513
Mg2 0.476 0.950 0.460
Th2 0.213 0.427 0.013
Se2 0.055 0.112 0.057
Sr2 0.102 0.204 0.684
Se3 0.945 0.888 0.557
Se4 0.719 0.439 0.163
Se5 0.306 0.613 0.369
Se6 0.627 0.254 0.501
Se7 0.373 0.746 0.001
Se8 0.503 0.006 0.274
Se9 0.281 0.561 0.663
Se10 0.497 0.994 0.774
Sr3 0.125 0.251 0.304
Sr4 0.875 0.749 0.804
```

| no. | formation energy (no corrections) (eV per atom) | total moment (μB/f.u.) |
| --- | --- | --- |
| 1 | -0.77 | 0.0 |
| 2 | 0.45 | 0.0 |
| 3 | -0.70 | 0.0 |
| 4 | -0.15 | 0.0 |
| 5 | 0.05 | 0.0 |
| 6 | -0.57 | 0.0 |
| 7 | 0.92 | 0.0 |
| 8 | 0.33 | 2.0 |
| 9 | -0.59 | 0.0 |
| 10 | -0.99 | 0.0 |
| 11 | -0.24 | 0.0 |
| 12 | -1.38 | 0.0 |
| 13 | -0.65 | 0.4 |
| 14 | -1.07 | 0.0 |
| 15 | 0.96 | 0.0 |
| 16 | -0.08 | 0.0 |
| 17 | -0.87 | 0.0 |
| 18 | -0.11 | 0.0 |
| 19 | -0.58 | 0.0 |
| 20 | -1.75 | 0.0 |